Density functional theory data (PBE) for PuSn2F8 after structural relaxation.

Geometry as CIF:
```
data_PuSn2F8
_space_group_name_H-M_alt 'P 1'
_space_group_IT_number 1
_cell_length_a 7.977
_cell_length_b 7.977
_cell_length_c 5.905
_cell_angle_alpha 109.80
_cell_angle_beta 109.80
_cell_angle_gamma 29.65
loop_
_space_group_symop_operation_xyz
'x,y,z'
loop_
_atom_site_label
_atom_site_fract_x
_atom_site_fract_y
_atom_site_fract_z
Pu1 0.000 0.000 0.000
Sn1 0.334 0.334 0.392
Sn2 0.666 0.666 0.608
F1 0.100 0.100 0.399
F2 0.125 0.125 0.932
F3 0.278 0.278 0.677
F4 0.490 0.490 0.784
F5 0.510 0.510 0.216
F6 0.722 0.722 0.323
F7 0.875 0.875 0.068
F8 0.900 0.900 0.601
```

Properties
The value obtained for the total magnetization is 4.00 μB per cell. The energy above the lowest structure with this stoichiometry is 46 meV/atom. The calculation puts the raw formation energy at -30.61 eV/f.u. The value obtained for the total energy is -0.227 hartree per atom.


Density functional theory data (PBE) for Ba3Mg after structural relaxation.

Geometry as CIF:
```
data_Ba3Mg
_space_group_name_H-M_alt 'P 1'
_space_group_IT_number 1
_cell_length_a 6.989
_cell_length_b 6.989
_cell_length_c 6.989
_cell_angle_alpha 90.00
_cell_angle_beta 90.00
_cell_angle_gamma 90.00
loop_
_space_group_symop_operation_xyz
'x,y,z'
loop_
_atom_site_label
_atom_site_fract_x
_atom_site_fract_y
_atom_site_fract_z
Ba1 0.000 0.000 0.500
Ba2 0.000 0.500 0.000
Ba3 0.500 0.000 0.000
Mg1 0.000 0.000 0.000
```

Properties
The value obtained for the total magnetization is 0.48 μB per cell. The formation energy from the elements is 0.399 eV per atom. The energy above the lowest structure with this stoichiometry is 413 meV/atom. The value obtained for the total energy is -0.053 hartree per atom.